Density functional theory data (GGA+U) for a geometry-optimized CoPbI2F structure.

Cell: 6.146 5.322 6.146 Å, 90.00 90.00 90.00°
Last column: magnetic moment on the atom in μB.
Fractional coordinates of all 5 atoms:
1 I 0.500 0.000 0.000  0.02
2 F 0.500 0.500 0.500  0.41
3 I 0.000 0.000 0.500  0.02
4 Co 0.000 0.500 0.000  1.91
5 Pb 0.000 0.000 0.000  -0.05

Results
**E above lowest polymorph**: 720 meV/atom
**Magnetic moment**: 2.42 Bohr magnetons per cell